# TbHgH

Crystalline TbHgH at its relaxed geometry (GGA-PBE, Alexandria via LeMat-Bulk).

```
6
Lattice="3.7475 0.0000 0.0000 0.0000 3.7475 0.0000 0.0000 0.0000 7.7255" Properties=species:S:1:pos:R:3 pbc="T T T"
Tb 0.9369 0.9369 1.2719
Tb 2.8106 2.8106 6.4536
Hg 0.9369 0.9369 4.7134
Hg 2.8106 2.8106 3.0121
H 0.9369 2.8106 0.0000
H 2.8106 0.9369 0.0000
```

Computed properties:
electronic total energy = -0.24294 Ry per atom
symmetry = No. 129
D(E_F) = 1.21 states/eV/f.u.
E above lowest polymorph = 0 meV/atom
total magnetization = 0.0 μB/cell

***

# TbHgH

Crystalline TbHgH at its relaxed geometry (GGA-PBE, Alexandria via LeMat-Bulk).

```
3
Lattice="-1.6234 1.6234 5.5329 1.6234 -1.6234 5.5329 1.6234 1.6234 -5.5329" Properties=species:S:1:pos:R:3 pbc="T T T"
Tb 0.0000 0.0000 0.0000
Hg 0.0000 0.0000 3.1374
H 0.0000 0.0000 5.9941
```

Computed properties:
electronic total energy = -0.21478 Ry per atom
symmetry = No. 107
D(E_F) = 2.47 states/eV/f.u.
E above lowest polymorph = 383 meV/atom
total magnetization = 0.2 μB/cell

***

# Tb2HgH

Crystalline Tb2HgH at its relaxed geometry (GGA-PBE, Alexandria via LeMat-Bulk).

```
4
Lattice="3.7348 0.0000 0.0000 -1.8674 3.2344 0.0000 0.0000 0.0000 7.5155" Properties=species:S:1:pos:R:3 pbc="T T T"
Tb 0.0000 0.0000 0.0000
Tb 0.0000 2.1563 4.7143
Hg 1.8674 1.0781 2.3572
H 0.0000 2.1563 6.9592
```

Computed properties:
electronic total energy = -0.26858 Ry per atom
symmetry = No. 156
D(E_F) = 3.02 states/eV/f.u.
E above lowest polymorph = 36 meV/atom
total magnetization = 0.0 μB/cell

***

# Tb6Hg2H

Crystalline Tb6Hg2H at its relaxed geometry (GGA-PBE, Alexandria via LeMat-Bulk).

```
18
Lattice="6.5626 0.0000 0.0000 0.0000 6.8241 0.0000 -6.0936 0.0000 10.6003" Properties=species:S:1:pos:R:3 pbc="T T T"
Tb -0.7300 0.0298 2.6556
Tb -3.7768 3.3823 7.9557
Tb -1.9675 1.2870 5.6760
Tb 1.0794 2.1250 0.3759
Tb -0.8805 4.7260 5.6686
Tb 2.1663 5.5101 0.3685
Tb -1.6974 1.3140 10.2318
Tb 1.3494 2.0980 4.9316
Tb -0.6104 4.6990 10.2244
Tb 2.4364 5.5371 4.9243
Tb 4.2458 3.4418 2.6446
Tb 1.1990 6.7943 7.9447
Hg 0.7351 4.1457 2.7197
Hg -2.3118 6.0905 8.0199
Hg 2.7807 0.7336 2.5804
Hg -0.2661 2.6784 7.8806
H 0.2345 0.0000 5.3001
H 3.2813 3.4120 0.0000
```

Computed properties:
electronic total energy = -0.27775 Ry per atom
symmetry = No. 14
D(E_F) = 8.98 states/eV/f.u.
total magnetization = 0.0 μB/cell

***

# Tb2HgH

Crystalline Tb2HgH at its relaxed geometry (GGA-PBE, Alexandria via LeMat-Bulk).

```
16
Lattice="8.6462 0.0000 0.0000 0.0000 5.3765 0.0000 -1.6354 0.0000 7.3790" Properties=species:S:1:pos:R:3 pbc="T T T"
Tb -0.1360 1.3205 2.8673
Tb -0.9537 1.3678 6.5568
Tb 1.3101 4.0296 7.0818
Tb 2.1278 4.0352 3.3924
Tb 4.8830 1.3414 3.9866
Tb 5.7006 1.3469 0.2971
Tb 7.9645 4.0088 0.8222
Tb 7.1468 4.0560 4.5117
Hg 1.9295 1.3313 5.2689
Hg 2.7472 1.3569 1.5794
Hg 4.2636 4.0196 5.7995
Hg 5.0813 4.0452 2.1100
H -0.8387 3.6775 6.5935
H -0.0211 4.3873 2.9040
H 7.0318 0.9892 4.4749
H 7.8495 1.6991 0.7855
```

Computed properties:
electronic total energy = -0.27119 Ry per atom
symmetry = No. 14
D(E_F) = 2.21 states/eV/f.u.
E above lowest polymorph = 0 meV/atom
total magnetization = 0.0 μB/cell

***

# Tb3HgH2

Crystalline Tb3HgH2 at its relaxed geometry (GGA-PBE, Alexandria via LeMat-Bulk).

```
12
Lattice="4.2255 -5.6889 0.0000 4.2255 5.6889 0.0000 0.0000 0.0000 5.0875" Properties=species:S:1:pos:R:3 pbc="T T T"
Tb 4.2255 4.4345 3.8156
Tb 2.4938 1.3323 3.8156
Tb 2.4938 -1.3323 1.2719
Tb 5.9572 1.3323 3.8156
Tb 5.9572 -1.3323 1.2719
Tb 4.2255 -4.4345 1.2719
Hg 4.2255 2.1465 1.2719
Hg 4.2255 -2.1465 3.8156
H 1.2743 0.0000 0.0000
H 1.2743 0.0000 2.5438
H 7.1767 0.0000 0.0000
H 7.1767 0.0000 2.5438
```

Computed properties:
electronic total energy = -0.28923 Ry per atom
symmetry = No. 63
D(E_F) = 4.88 states/eV/f.u.
total magnetization = 0.0 μB/cell

***

# Tb3Hg2H

Crystalline Tb3Hg2H at its relaxed geometry (GGA-PBE, Alexandria via LeMat-Bulk).

```
12
Lattice="5.3425 -3.5650 0.0000 5.3425 3.5650 0.0000 -2.4054 0.0000 7.4244" Properties=species:S:1:pos:R:3 pbc="T T T"
Tb 3.5385 2.8435 5.5683
Tb 3.7936 0.5493 0.2742
Tb 2.5909 -0.5493 3.9864
Tb 5.6887 0.5493 3.4380
Tb 4.4860 -0.5493 7.1502
Tb 4.7412 -2.8435 1.8561
Hg 2.6224 2.1752 2.6223
Hg 6.8599 2.1752 1.0899
Hg 1.4197 -2.1752 6.3344
Hg 5.6573 -2.1752 4.8021
H 3.5385 0.6420 5.5683
H 4.7412 -0.6420 1.8561
```

Computed properties:
electronic total energy = -0.24920 Ry per atom
symmetry = No. 15
D(E_F) = 4.31 states/eV/f.u.
total magnetization = 0.0 μB/cell

***

# Tb2HgH

Crystalline Tb2HgH at its relaxed geometry (GGA-PBE, Alexandria via LeMat-Bulk).

```
4
Lattice="1.8151 1.0480 7.5754 -1.8151 1.0480 7.5754 0.0000 -2.0959 7.5754" Properties=species:S:1:pos:R:3 pbc="T T T"
Tb 0.0000 0.0000 0.0000
Tb 0.0000 0.0000 4.8415
Hg 0.0000 0.0000 9.9868
H 0.0000 0.0000 13.8165
```

Computed properties:
electronic total energy = -0.26133 Ry per atom
symmetry = No. 160
D(E_F) = 3.50 states/eV/f.u.
E above lowest polymorph = 134 meV/atom
total magnetization = 0.0 μB/cell

***

# TcHg2H2

Crystalline TcHg2H2 at its relaxed geometry (GGA-PBE, Alexandria via LeMat-Bulk).

```
5
Lattice="-1.4775 1.4775 7.5496 1.4775 -1.4775 7.5496 1.4775 1.4775 -7.5496" Properties=species:S:1:pos:R:3 pbc="T T T"
Tc 0.0000 0.0000 0.0000
Hg 0.0000 0.0000 5.4832
Hg 0.0000 0.0000 9.6161
H 1.4775 0.0000 3.7748
H 0.0000 1.4775 3.7748
```

Computed properties:
electronic total energy = -0.19670 Ry per atom
symmetry = No. 139
D(E_F) = 3.82 states/eV/f.u.
E above lowest polymorph = 0 meV/atom
total magnetization = 1.2 μB/cell

***

# Tc3HgH

Crystalline Tc3HgH at its relaxed geometry (GGA-PBE, Alexandria via LeMat-Bulk).

```
5
Lattice="4.0237 0.0000 0.0000 0.0000 4.0237 0.0000 0.0000 0.0000 4.0237" Properties=species:S:1:pos:R:3 pbc="T T T"
Tc 0.0000 0.0000 2.0119
Tc 0.0000 2.0119 0.0000
Tc 2.0119 0.0000 0.0000
Hg 2.0119 2.0119 2.0119
H 0.0000 0.0000 0.0000
```

Computed properties:
electronic total energy = -0.47728 Ry per atom
symmetry = No. 221
D(E_F) = 8.78 states/eV/f.u.
E above lowest polymorph = 0 meV/atom
total magnetization = 0.0 μB/cell

***

# Tc3HgH

Crystalline Tc3HgH at its relaxed geometry (GGA-PBE, Alexandria via LeMat-Bulk).

```
5
Lattice="5.1733 0.0000 0.0000 0.0000 5.1733 0.0000 0.0000 0.0000 5.1733" Properties=species:S:1:pos:R:3 pbc="T T T"
Tc 0.0000 0.0000 2.5867
Tc 0.0000 2.5867 0.0000
Tc 2.5867 0.0000 0.0000
Hg 0.0000 0.0000 0.0000
H 2.5867 2.5867 2.5867
```

Computed properties:
electronic total energy = -0.28884 Ry per atom
symmetry = No. 221
D(E_F) = 10.14 states/eV/f.u.
E above lowest polymorph = 2564 meV/atom
total magnetization = 10.0 μB/cell

***

# TcHg2H2

Crystalline TcHg2H2 at its relaxed geometry (GGA-PBE, Alexandria via LeMat-Bulk).

```
10
Lattice="7.4094 0.0000 0.0000 0.0000 7.4094 0.0000 0.0000 0.0000 2.7756" Properties=species:S:1:pos:R:3 pbc="T T T"
Tc 0.0000 0.0000 0.0000
Tc 3.7047 3.7047 0.0000
Hg 0.9978 2.7069 0.0000
Hg 2.7069 6.4116 0.0000
Hg 4.7025 0.9978 0.0000
Hg 6.4116 4.7025 0.0000
H 1.7657 5.4704 1.3878
H 1.9391 1.7657 1.3878
H 5.4704 5.6438 1.3878
H 5.6438 1.9391 1.3878
```

Computed properties:
electronic total energy = -0.17394 Ry per atom
symmetry = No. 127
D(E_F) = 2.80 states/eV/f.u.
E above lowest polymorph = 310 meV/atom
total magnetization = 2.8 μB/cell

***

# Ti2TcHgH

Crystalline Ti2TcHgH at its relaxed geometry (GGA-PBE, Alexandria via LeMat-Bulk).

```
5
Lattice="4.2236 0.0000 0.0000 0.0000 4.2236 0.0000 0.0000 0.0000 3.8195" Properties=species:S:1:pos:R:3 pbc="T T T"
Ti 0.0000 2.1118 0.0000
Ti 2.1118 0.0000 0.0000
Tc 0.0000 0.0000 1.9098
Hg 2.1118 2.1118 1.9098
H 0.0000 0.0000 0.0000
```

Computed properties:
electronic total energy = -0.45134 Ry per atom
symmetry = No. 123
D(E_F) = 4.20 states/eV/f.u.
total magnetization = 0.0 μB/cell

***

# Zr2TcHgH

Crystalline Zr2TcHgH at its relaxed geometry (GGA-PBE, Alexandria via LeMat-Bulk).

```
5
Lattice="4.5916 0.0000 0.0000 0.0000 4.5916 0.0000 0.0000 0.0000 3.8215" Properties=species:S:1:pos:R:3 pbc="T T T"
Zr 0.0000 2.2958 0.0000
Zr 2.2958 0.0000 0.0000
Tc 0.0000 0.0000 1.9107
Hg 2.2958 2.2958 1.9107
H 0.0000 0.0000 0.0000
```

Computed properties:
electronic total energy = -0.47297 Ry per atom
symmetry = No. 123
D(E_F) = 3.05 states/eV/f.u.
total magnetization = 0.0 μB/cell

***

# HgTeH

Crystalline HgTeH at its relaxed geometry (GGA-PBE, Alexandria via LeMat-Bulk).

```
3
Lattice="-2.2281 2.2281 3.7334 2.2281 -2.2281 3.7334 2.2281 2.2281 -3.7334" Properties=species:S:1:pos:R:3 pbc="T T T"
Hg 0.0000 0.0000 0.0000
Te 0.0000 0.0000 3.5126
H 0.0000 0.0000 5.2285
```

Computed properties:
electronic total energy = -0.15482 Ry per atom
symmetry = No. 107
D(E_F) = 0.60 states/eV/f.u.
E above lowest polymorph = 146 meV/atom
total magnetization = 0.0 μB/cell

***

# Hg2TeH

Crystalline Hg2TeH at its relaxed geometry (GGA-PBE, Alexandria via LeMat-Bulk).

```
8
Lattice="4.4906 0.0000 0.0000 1.1355 6.9341 0.0000 0.8667 3.4012 6.6128" Properties=species:S:1:pos:R:3 pbc="T T T"
Hg 0.4910 2.1906 0.8875
Hg 2.7417 3.0871 2.6436
Hg 3.7510 7.2482 3.9692
Hg 6.0017 8.1447 5.7253
Te 2.4377 6.0213 1.4115
Te 4.0550 4.3140 5.2013
H 0.9965 4.2798 4.2937
H 5.4962 6.0555 2.3191
```

Computed properties:
electronic total energy = -0.12295 Ry per atom
symmetry = No. 2
D(E_F) = 0.65 states/eV/f.u.
E above lowest polymorph = 0 meV/atom
total magnetization = 0.0 μB/cell

***

# HgTe2H

Crystalline HgTe2H at its relaxed geometry (GGA-PBE, Alexandria via LeMat-Bulk).

```
4
Lattice="2.2075 1.2745 7.1148 -2.2075 1.2745 7.1148 0.0000 -2.5490 7.1148" Properties=species:S:1:pos:R:3 pbc="T T T"
Hg 0.0000 0.0000 0.0000
Te 0.0000 0.0000 8.7062
Te 0.0000 0.0000 12.6381
H 0.0000 0.0000 10.6722
```

Computed properties:
electronic total energy = -0.16272 Ry per atom
symmetry = No. 166
D(E_F) = 5.69 states/eV/f.u.
E above lowest polymorph = 175 meV/atom
total magnetization = 0.0 μB/cell

***

# HgTe2H

Crystalline HgTe2H at its relaxed geometry (GGA-PBE, Alexandria via LeMat-Bulk).

```
8
Lattice="5.1510 0.0000 0.0000 0.0000 8.1178 0.0000 -0.8593 0.0000 5.5605" Properties=species:S:1:pos:R:3 pbc="T T T"
Hg 0.0000 1.9415 0.0000
Hg 0.0000 6.1762 0.0000
Te 1.2539 4.0589 1.6141
Te 0.8834 0.0000 4.3215
Te 3.0256 4.0589 4.1543
Te 3.5015 0.0000 1.3958
H -0.3553 0.0000 2.8271
H -0.1511 4.0589 2.6656
```

Computed properties:
electronic total energy = -0.17558 Ry per atom
symmetry = No. 6
D(E_F) = 1.39 states/eV/f.u.
E above lowest polymorph = 0 meV/atom
total magnetization = 0.0 μB/cell

***

# HgTe2H4

Crystalline HgTe2H4 at its relaxed geometry (GGA-PBE, Alexandria via LeMat-Bulk).

```
7
Lattice="2.9015 -6.5714 0.0000 2.9015 6.5714 0.0000 -1.7510 0.0000 4.0921" Properties=species:S:1:pos:R:3 pbc="T T T"
Hg 0.0000 0.0000 0.0000
Te 3.1853 2.9360 0.0261
Te 3.1853 -2.9360 0.0261
H 0.6810 0.0000 1.5314
H 1.4374 2.0835 2.6601
H 1.4374 -2.0835 2.6601
H 3.3804 0.0000 2.5656
```

Computed properties:
electronic total energy = -0.19168 Ry per atom
symmetry = No. 8
total magnetization = 0.0 μB/cell

***

# Hg3TeH

Crystalline Hg3TeH at its relaxed geometry (GGA-PBE, Alexandria via LeMat-Bulk).

```
5
Lattice="4.8094 0.0000 0.0000 0.0000 4.8094 0.0000 0.0000 0.0000 4.8094" Properties=species:S:1:pos:R:3 pbc="T T T"
Hg 0.0000 0.0000 2.4047
Hg 0.0000 2.4047 0.0000
Hg 2.4047 0.0000 0.0000
Te 2.4047 2.4047 2.4047
H 0.0000 0.0000 0.0000
```

Computed properties:
electronic total energy = -0.08106 Ry per atom
symmetry = No. 221
D(E_F) = 3.24 states/eV/f.u.
E above lowest polymorph = 313 meV/atom
total magnetization = 0.0 μB/cell